## Sm9Ho2In (PBE)

Data for a relaxed structure of Sm9Ho2In.

The structure in extended XYZ format:
```
12
Lattice="5.014 0.000 0.000 0.000 5.014 0.000 0.000 0.000 15.324" Properties=species:S:1:pos:R:3 pbc="T T T"
Sm 2.507 2.507 0.000
Sm 2.507 2.507 5.057
Sm 2.507 2.507 10.268
Sm 2.507 0.000 2.477
Sm 2.507 0.000 7.662
Sm 2.507 0.000 12.848
Sm 0.000 2.507 2.477
Sm 0.000 2.507 7.662
Sm 0.000 2.507 12.848
Ho 0.000 0.000 5.082
Ho 0.000 0.000 10.243
In 0.000 0.000 0.000
```

Crystal system = tetragonal
SG = P4/mmm, No. 123
Raw total energy = -4.599 eV/atom
Total moment = 0.00 μB per formula unit

***

## Sm6Ho2In (PBE)

Data for a relaxed structure of Sm6Ho2In.

The structure in extended XYZ format:
```
18
Lattice="4.950 0.000 0.242 0.000 10.743 0.000 -0.526 0.000 10.729" Properties=species:S:1:pos:R:3 pbc="T T T"
Sm -0.088 10.728 1.787
Sm -0.262 7.159 5.349
Sm -0.441 7.084 9.018
Sm 2.127 1.713 7.197
Sm 2.474 1.788 0.136
Sm 2.300 5.357 3.699
Sm 4.512 0.014 9.184
Sm 4.686 3.583 5.622
Sm 4.865 3.659 1.953
Sm 2.297 9.030 3.775
Sm 1.950 8.955 10.835
Sm 2.125 5.386 7.272
Ho -0.440 3.629 8.990
Ho 2.126 9.000 7.225
Ho 2.298 1.742 3.747
Ho 4.864 7.114 1.981
In 2.475 5.371 0.121
In -0.263 0.000 5.364
```

Crystal system = tetragonal
SG = P4_2/mnm, No. 136
Raw total energy = -4.537 eV/atom
Total moment = 0.00 μB per formula unit
ΔE to the lowest computed polymorph = 0.25 eV/f.u.

***

## Sm3Ho6In (PBE)

Data for a relaxed structure of Sm3Ho6In.

The structure in extended XYZ format:
```
20
Lattice="3.544 0.000 0.000 0.000 12.767 -1.884 0.000 -6.203 14.761" Properties=species:S:1:pos:R:3 pbc="T T T"
Sm 2.658 -0.621 12.499
Sm 0.886 7.184 0.378
Sm 2.658 4.842 6.192
Sm 0.886 1.721 6.685
Sm 2.658 1.030 1.121
Sm 0.886 5.533 11.756
Ho 2.658 3.182 9.368
Ho 0.886 3.381 3.509
Ho 2.658 10.294 -0.021
Ho 0.886 -3.731 12.898
Ho 2.658 4.254 0.744
Ho 0.886 2.309 12.133
Ho 2.658 6.585 3.317
Ho 0.886 -0.022 9.560
Ho 2.658 -1.516 6.831
Ho 0.886 8.079 6.046
Ho 2.658 6.839 8.924
Ho 0.886 -0.276 3.953
In 2.658 -2.812 10.027
In 0.886 9.375 2.851
```

Crystal system = monoclinic
SG = P2_1/m, No. 11
Raw total energy = -4.465 eV/atom
Total moment = 0.00 μB per formula unit
ΔE to the lowest computed polymorph = 0.36 eV/f.u.

***

## Sm12Ho3In (PBE)

Data for a relaxed structure of Sm12Ho3In.

The structure in extended XYZ format:
```
16
Lattice="-4.352 0.316 -2.510 1.689 -3.355 -3.352 -7.637 -15.168 11.334" Properties=species:S:1:pos:R:3 pbc="T T T"
Sm -1.332 -1.519 -2.931
Sm -3.213 -5.255 -0.139
Sm -5.150 -9.104 2.736
Sm -7.088 -12.952 5.612
Sm -3.102 -1.680 0.118
Sm -5.030 -5.510 2.980
Sm -6.960 -9.343 5.844
Sm -8.888 -13.172 8.706
Sm -0.081 -3.515 -0.303
Sm -2.009 -7.345 2.559
Sm -3.939 -11.178 5.423
Sm -5.867 -15.008 8.285
Ho -1.897 -3.767 2.815
Ho -3.819 -7.584 5.667
Ho -5.741 -11.401 8.519
In 0.000 0.000 0.000
```

Crystal system = tetragonal
SG = P4/mmm, No. 123
Raw total energy = -4.616 eV/atom
Total moment = 0.00 μB per formula unit